Here is Na3ScO3 after structural relaxation from Alexandria via LeMat-Bulk. Energies are from PBE.

Unit cell a=6.3200 b=6.3200 c=6.1347 alpha=93.01 beta=93.01 gamma=116.35
Last column: nearest neighbours and their distance in Å.
Sites, in units of the cell vectors:
Na1 0.2067 0.7933 0.0000  2 O 2.33
Na2 0.2607 0.7393 0.5000  2 O 2.33
Na3 0.3716 0.3716 0.1340  1 O 2.18
Na4 0.6284 0.6284 0.8660  1 O 2.18
Na5 0.7393 0.2607 0.5000  2 O 2.33
Na6 0.7933 0.2067 0.0000  2 O 2.33
Sc1 0.1896 0.1896 0.6450  4 O 1.95-2.05
Sc2 0.8104 0.8104 0.3550  4 O 1.95-2.05
O1 0.1065 0.1065 0.3143  2 Sc 2.01-2.05, 1 Na 2.18
O2 0.1827 0.4760 0.7702  1 Sc 1.95
O3 0.4760 0.1827 0.7702  1 Sc 1.95
O4 0.5240 0.8173 0.2298  1 Sc 1.95
O5 0.8173 0.5240 0.2298  1 Sc 1.95
O6 0.8935 0.8935 0.6857  2 Sc 2.01-2.05, 1 Na 2.18

Summary:
Symmetry: C2/m
E_form (uncorrected): -196.7 kJ/mol of atoms

Here is Pm4TlAg5 after structural relaxation from Alexandria via LeMat-Bulk. Energies are from PBE.

Unit cell a=3.7720 b=3.7720 c=17.8442 alpha=90.00 beta=90.00 gamma=90.00
Last column: nearest neighbours and their distance in Å.
Sites, in units of the cell vectors:
Pm1 0.0000 0.0000 0.1042  8 Ag 3.24-3.25
Pm2 0.0000 0.0000 0.3098  8 Ag 3.16-3.23, 1 Tl 3.39
Pm3 0.0000 0.0000 0.6902  8 Ag 3.16-3.23, 1 Tl 3.39
Pm4 0.0000 0.0000 0.8958  8 Ag 3.24-3.25
Tl1 0.0000 0.0000 0.5000  8 Ag 3.17, 2 Pm 3.39
Ag1 0.5000 0.5000 0.0000  8 Pm 3.25
Ag2 0.5000 0.5000 0.2074  8 Pm 3.23-3.24, 1 Ag 3.51
Ag3 0.5000 0.5000 0.4043  4 Pm 3.16, 4 Tl 3.17, 2 Ag 3.42-3.51
Ag4 0.5000 0.5000 0.5957  4 Pm 3.16, 4 Tl 3.17, 2 Ag 3.42-3.51
Ag5 0.5000 0.5000 0.7926  8 Pm 3.23-3.24, 1 Ag 3.51

Summary:
Symmetry: P4/mmm
DFT formation energy: -0.21 eV/atom

Here is BaLaOs after structural relaxation from Alexandria via LeMat-Bulk. Energies are from PBE.

Unit cell a=5.1053 b=5.1053 c=5.1053 alpha=60.00 beta=60.00 gamma=60.00
Last column: nearest neighbours and their distance in Å.
Sites, in units of the cell vectors:
Ba1 0.0000 0.0000 0.0000  4 Os 3.13
La1 0.5000 0.5000 0.5000  4 Os 3.13
Os1 0.7500 0.7500 0.7500  4 La 3.13, 4 Ba 3.13

Summary:
Offset from the most stable computed form: 78 meV/atom
Symmetry: F-43m
DFT formation energy: 0.32 eV/atom

Here is AcThGeSe after structural relaxation from Alexandria via LeMat-Bulk. Energies are from PBE.

Unit cell a=7.6278 b=7.6278 c=7.6278 alpha=33.61 beta=33.61 gamma=33.61
Last column: nearest neighbours and their distance in Å.
Sites, in units of the cell vectors:
Ac1 0.0000 0.0000 0.0000  3 Ge 3.16, 3 Se 3.24
Th1 0.4927 0.4927 0.4927  3 Ge 2.99, 3 Se 3.09
Ge1 0.7534 0.7534 0.7534  3 Th 2.99, 3 Ac 3.16
Se1 0.2402 0.2402 0.2402  3 Th 3.09, 3 Ac 3.24

Summary:
Symmetry: R3m
E_form (uncorrected): -124.0 kJ/mol of atoms

Here is NaTaF6 after structural relaxation from Alexandria via LeMat-Bulk. Energies are from PBE.

Unit cell a=5.2234 b=5.2234 c=5.3698 alpha=95.76 beta=95.76 gamma=116.16
Last column: nearest neighbours and their distance in Å.
Sites, in units of the cell vectors:
Na1 0.0000 0.0000 0.0000  6 F 2.27-2.45
Ta1 0.5000 0.5000 0.5000  6 F 1.93
F1 0.1601 0.4573 0.2857  1 Ta 1.93
F2 0.2595 0.2595 0.7181  1 Ta 1.93
F3 0.4573 0.1601 0.2857  1 Ta 1.93
F4 0.5427 0.8399 0.7143  1 Ta 1.93
F5 0.7405 0.7405 0.2819  1 Ta 1.93
F6 0.8399 0.5427 0.7143  1 Ta 1.93

Summary:
Symmetry: C2/m
E_form (uncorrected): -309.3 kJ/mol of atoms

Record-wise total moment values, in μB/cell: 0.00; 0.00; 0.00; 0.00; 0.05